Record 1
PBE LiCuSi2Ru, relaxed; E_tot = -5.001 eV/atom; size of the total moment = 0.000 μB/cell
1.0
-3.391 -1.401 -2.579
3.012 -3.313 -2.161
-1.109 -3.036 3.108
Li Si Cu Ru
1 2 1 1
Direct
0.500 0.500 0.500
0.500 0.000 0.000
0.000 0.000 0.500
0.000 0.500 0.000
0.000 0.000 0.000

Record 2
PBE LiCuSiRu, relaxed; E_tot = -5.485 eV/atom; size of the total moment = 0.000 μB/cell
1.0
-2.283 -0.052 3.371
-3.472 -2.126 0.075
-0.260 -3.396 2.231
Li Cu Ru Si
1 1 1 1
Direct
0.000 0.000 0.000
0.250 0.250 0.250
0.750 0.750 0.750
0.500 0.500 0.500

Record 3
PBE LiCuSnRu2, relaxed; E_tot = -4.404 eV/atom; size of the total moment = 2.462 μB/cell
1.0
-1.914 -4.538 0.561
3.049 -1.694 -3.298
3.315 -0.958 3.558
Ru Sn Cu Li
2 1 1 1
Direct
0.500 0.000 0.000
0.000 0.000 0.500
0.000 0.000 0.000
0.000 0.500 0.000
0.500 0.500 0.500

Record 4
PBE LiTbCuRu, relaxed; E_tot = -4.921 eV/atom; size of the total moment = 0.000 μB/cell
1.0
4.569 0.000 0.000
2.284 3.956 0.000
2.284 1.319 3.730
Tb Li Ru Cu
1 1 1 1
Direct
0.500 0.500 0.500
0.750 0.750 0.750
0.250 0.250 0.250
0.000 0.000 0.000

Record 5
PBE LiTmCuRu, relaxed; E_tot = -4.935 eV/atom; size of the total moment = 0.000 μB/cell
1.0
-2.632 2.528 -2.665
-4.497 -0.325 0.302
-2.398 3.401 1.763
Ru Li Cu Tm
1 1 1 1
Direct
0.250 0.250 0.250
0.750 0.750 0.750
0.500 0.500 0.500
0.000 0.000 0.000

Record 6
PBE LiV2CuRu, relaxed; E_tot = -5.826 eV/atom; size of the total moment = 3.545 μB/cell
1.0
4.552 0.000 0.000
0.000 4.849 0.000
0.000 0.000 4.552
Cu Li V Ru
1 1 2 1
Direct
0.000 0.500 0.000
0.500 0.500 0.500
0.500 0.000 0.000
0.000 0.000 0.500
0.000 0.000 0.000

Question: Look up the size of the total moment of the first one.
Answer: 0.000 μB/cell